Arrangement A

First-principles (GGA-PBE) data for a relaxed structure of Y5Ho2Er2, as listed in Alexandria via LeMat-Bulk.

Computed properties:
Calculated density, g/cm³: 6.31
M_tot, Bohr magnetons per cell: 0.00

Cell and atoms, written as CIF:
```
data_Y5Ho2Er2
_chemical_formula_sum 'Y20 Ho8 Er8'
_space_group_name_H-M_alt 'I m a 2'
_space_group_IT_number 46
_space_group_name_Hall 'I 2 -2a'
_cell_length_a 15.124
_cell_length_b 12.725
_cell_length_c 6.067
_cell_angle_alpha 90.00
_cell_angle_beta 90.00
_cell_angle_gamma 90.00
loop_
_atom_site_label
_atom_site_fract_x
_atom_site_fract_y
_atom_site_fract_z
_atom_site_occupancy
Y1 0.047 0.196 0.000 1
Y2 0.143 0.688 0.165 1
Y3 0.250 0.184 0.253 1
Ho1 0.000 0.000 0.586 1
Ho2 0.250 0.050 0.712 1
Er1 0.138 0.547 0.656 1
```

---

Arrangement B

First-principles (GGA-PBE) data for a relaxed structure of Y5Ho2Er2, as listed in Alexandria via LeMat-Bulk.

Computed properties:
Calculated density, g/cm³: 6.49
M_tot, Bohr magnetons per cell: 0.00

Cell and atoms, written as CIF:
```
data_Y5Ho2Er2
_chemical_formula_sum 'Y5 Ho2 Er2'
_space_group_name_H-M_alt 'P -1'
_space_group_IT_number 2
_space_group_name_Hall '-P 1'
_cell_length_a 3.546
_cell_length_b 6.139
_cell_length_c 13.730
_cell_angle_alpha 90.04
_cell_angle_beta 97.30
_cell_angle_gamma 106.74
loop_
_atom_site_label
_atom_site_fract_x
_atom_site_fract_y
_atom_site_fract_z
_atom_site_occupancy
Y1 0.000 0.000 0.000 1
Y2 0.334 0.224 0.444 1
Y3 0.334 0.553 0.113 1
Ho1 0.334 0.891 0.777 1
Er1 0.001 0.668 0.333 1
```

---

Short version: arrangement A is the least stable of them.

---

Arrangement A

First-principles (GGA-PBE) data for a relaxed structure of Y4Ho2Er, as listed in Alexandria via LeMat-Bulk.

Computed properties:
Calculated density, g/cm³: 6.34
M_tot, Bohr magnetons per cell: 0.00

Cell and atoms, written as CIF:
```
data_Y4Ho2Er
_chemical_formula_sum 'Y8 Ho4 Er2'
_space_group_name_H-M_alt 'C 1 2/m 1'
_space_group_IT_number 12
_space_group_name_Hall '-C 2y'
_cell_length_a 16.693
_cell_length_b 3.544
_cell_length_c 8.696
_cell_angle_alpha 90.00
_cell_angle_beta 119.72
_cell_angle_gamma 90.00
loop_
_atom_site_label
_atom_site_fract_x
_atom_site_fract_y
_atom_site_fract_z
_atom_site_occupancy
Y1 0.140 0.000 0.334 1
Y2 0.204 0.000 0.793 1
Ho1 0.070 0.500 0.930 1
Er1 0.000 0.500 0.500 1
```

---

Arrangement B

First-principles (GGA-PBE) data for a relaxed structure of Y4Ho2Er, as listed in Alexandria via LeMat-Bulk.

Computed properties:
Calculated density, g/cm³: 6.33
M_tot, Bohr magnetons per cell: 0.00

Cell and atoms, written as CIF:
```
data_Y4Ho2Er
_chemical_formula_sum 'Y8 Ho4 Er2'
_space_group_name_H-M_alt 'P 1 21/m 1'
_space_group_IT_number 11
_space_group_name_Hall '-P 2yb'
_cell_length_a 5.929
_cell_length_b 6.691
_cell_length_c 11.645
_cell_angle_alpha 90.00
_cell_angle_beta 104.39
_cell_angle_gamma 90.00
loop_
_atom_site_label
_atom_site_fract_x
_atom_site_fract_y
_atom_site_fract_z
_atom_site_occupancy
Y1 0.140 0.250 0.156 1
Y2 0.266 0.750 0.425 1
Y3 0.344 0.503 0.710 1
Ho1 0.169 0.250 0.441 1
Ho2 0.411 0.750 0.007 1
Er1 0.014 0.250 0.858 1
```

---

Short version: arrangement B is the least stable of them.

---

Arrangement A

First-principles (GGA-PBE) data for a relaxed structure of Y4HoEr2, as listed in Alexandria via LeMat-Bulk.

Computed properties:
Calculated density, g/cm³: 6.37
M_tot, Bohr magnetons per cell: 0.02

Cell and atoms, written as CIF:
```
data_Y4HoEr2
_chemical_formula_sum 'Y8 Ho2 Er4'
_space_group_name_H-M_alt 'C 1 2/m 1'
_space_group_IT_number 12
_space_group_name_Hall '-C 2y'
_cell_length_a 16.665
_cell_length_b 3.540
_cell_length_c 8.694
_cell_angle_alpha 90.00
_cell_angle_beta 119.61
_cell_angle_gamma 90.00
loop_
_atom_site_label
_atom_site_fract_x
_atom_site_fract_y
_atom_site_fract_z
_atom_site_occupancy
Y1 0.140 0.000 0.333 1
Y2 0.204 0.000 0.793 1
Ho1 0.000 0.500 0.500 1
Er1 0.070 0.500 0.930 1
```

---

Arrangement B

First-principles (GGA-PBE) data for a relaxed structure of Y4HoEr2, as listed in Alexandria via LeMat-Bulk.

Computed properties:
Calculated density, g/cm³: 6.19
M_tot, Bohr magnetons per cell: 0.00

Cell and atoms, written as CIF:
```
data_Y4HoEr2
_chemical_formula_sum 'Y16 Ho4 Er8'
_space_group_name_H-M_alt 'I m m a'
_space_group_IT_number 74
_space_group_name_Hall '-I 2b 2'
_cell_length_a 6.721
_cell_length_b 11.403
_cell_length_c 11.981
_cell_angle_alpha 90.00
_cell_angle_beta 90.00
_cell_angle_gamma 90.00
loop_
_atom_site_label
_atom_site_fract_x
_atom_site_fract_y
_atom_site_fract_z
_atom_site_occupancy
Y1 0.000 0.007 0.147 1
Y2 0.225 0.250 0.988 1
Ho1 0.250 0.250 0.250 1
Er1 0.000 0.000 0.500 1
Er2 0.000 0.250 0.723 1
```

---

Short version: arrangement B is the least stable of them.

---

Arrangement A

First-principles (GGA-PBE) data for a relaxed structure of Y3Ho2Er2, as listed in Alexandria via LeMat-Bulk.

Computed properties:
Calculated density, g/cm³: 6.97
M_tot, Bohr magnetons per cell: 0.00

Cell and atoms, written as CIF:
```
data_Y3Ho2Er2
_chemical_formula_sum 'Y3 Ho2 Er2'
_space_group_name_H-M_alt 'P -1'
_space_group_IT_number 2
_space_group_name_Hall '-P 1'
_cell_length_a 3.529
_cell_length_b 5.448
_cell_length_c 11.983
_cell_angle_alpha 76.87
_cell_angle_beta 81.71
_cell_angle_gamma 90.00
loop_
_atom_site_label
_atom_site_fract_x
_atom_site_fract_y
_atom_site_fract_z
_atom_site_occupancy
Y1 0.000 0.000 0.000 1
Y2 0.225 0.724 0.552 1
Ho1 0.419 0.420 0.160 1
Er1 0.142 0.142 0.717 1
```

---

Arrangement B

First-principles (GGA-PBE) data for a relaxed structure of Y3Ho2Er2, as listed in Alexandria via LeMat-Bulk.

Computed properties:
Calculated density, g/cm³: 6.90
M_tot, Bohr magnetons per cell: 0.00

Cell and atoms, written as CIF:
```
data_Y3Ho2Er2
_chemical_formula_sum 'Y6 Ho4 Er4'
_space_group_name_H-M_alt 'C 1 2/m 1'
_space_group_IT_number 12
_space_group_name_Hall '-C 2y'
_cell_length_a 17.341
_cell_length_b 3.484
_cell_length_c 8.507
_cell_angle_alpha 90.00
_cell_angle_beta 119.29
_cell_angle_gamma 90.00
loop_
_atom_site_label
_atom_site_fract_x
_atom_site_fract_y
_atom_site_fract_z
_atom_site_occupancy
Y1 0.000 0.000 0.000 1
Y2 0.212 0.000 0.300 1
Ho1 0.065 0.500 0.409 1
Er1 0.146 0.000 0.823 1
```

---

Short version: arrangement B is the least stable of them.

---

Arrangement A

First-principles (GGA-PBE) data for a relaxed structure of YHo2Er3, as listed in Alexandria via LeMat-Bulk.

Computed properties:
Calculated density, g/cm³: 8.12
M_tot, Bohr magnetons per cell: 0.00

Cell and atoms, written as CIF:
```
data_YHo2Er3
_chemical_formula_sum 'Y4 Ho8 Er12'
_space_group_name_H-M_alt 'C 1 2/m 1'
_space_group_IT_number 12
_space_group_name_Hall '-C 2y'
_cell_length_a 21.781
_cell_length_b 3.608
_cell_length_c 11.149
_cell_angle_alpha 90.00
_cell_angle_beta 120.78
_cell_angle_gamma 90.00
loop_
_atom_site_label
_atom_site_fract_x
_atom_site_fract_y
_atom_site_fract_z
_atom_site_occupancy
Y1 0.111 0.000 0.486 1
Ho1 0.056 0.500 0.683 1
Ho2 0.223 0.000 0.848 1
Er1 0.055 0.500 0.179 1
Er2 0.111 0.000 0.987 1
Er3 0.221 0.000 0.347 1
```

---

Arrangement B

First-principles (GGA-PBE) data for a relaxed structure of YHo2Er3, as listed in Alexandria via LeMat-Bulk.

Computed properties:
Calculated density, g/cm³: 8.24
M_tot, Bohr magnetons per cell: 0.00

Cell and atoms, written as CIF:
```
data_YHo2Er3
_chemical_formula_sum 'Y4 Ho8 Er12'
_space_group_name_H-M_alt 'C 1 2/c 1'
_space_group_IT_number 15
_space_group_name_Hall '-C 2yc'
_cell_length_a 17.268
_cell_length_b 7.047
_cell_length_c 6.097
_cell_angle_alpha 90.00
_cell_angle_beta 90.01
_cell_angle_gamma 90.00
loop_
_atom_site_label
_atom_site_fract_x
_atom_site_fract_y
_atom_site_fract_z
_atom_site_occupancy
Y1 0.000 0.126 0.250 1
Ho1 0.167 0.375 0.418 1
Er1 0.000 0.376 0.750 1
Er2 0.167 0.125 0.916 1
```

---

Short version: arrangement B is the least stable of them.

---

Arrangement A

First-principles (GGA-PBE) data for a relaxed structure of YHoEr4, as listed in Alexandria via LeMat-Bulk.

Computed properties:
Calculated density, g/cm³: 8.05
M_tot, Bohr magnetons per cell: 0.00

Cell and atoms, written as CIF:
```
data_YHoEr4
_chemical_formula_sum 'Y4 Ho4 Er16'
_space_group_name_H-M_alt 'C 1 2/c 1'
_space_group_IT_number 15
_space_group_name_Hall '-C 2yc'
_cell_length_a 8.705
_cell_length_b 14.571
_cell_length_c 6.405
_cell_angle_alpha 90.00
_cell_angle_beta 110.42
_cell_angle_gamma 90.00
loop_
_atom_site_label
_atom_site_fract_x
_atom_site_fract_y
_atom_site_fract_z
_atom_site_occupancy
Y1 0.000 0.085 0.250 1
Ho1 0.000 0.500 0.250 1
Er1 0.093 0.304 0.535 1
Er2 0.204 0.130 0.879 1
```

---

Arrangement B

First-principles (GGA-PBE) data for a relaxed structure of YHoEr4, as listed in Alexandria via LeMat-Bulk.

Computed properties:
Calculated density, g/cm³: 7.85
M_tot, Bohr magnetons per cell: 2.44

Cell and atoms, written as CIF:
```
data_YHoEr4
_chemical_formula_sum 'Y4 Ho4 Er16'
_space_group_name_H-M_alt 'F -4 3 m'
_space_group_IT_number 216
_space_group_name_Hall 'F -4 2 3'
_cell_length_a 9.209
_cell_length_b 9.209
_cell_length_c 9.209
_cell_angle_alpha 90.00
_cell_angle_beta 90.00
_cell_angle_gamma 90.00
loop_
_atom_site_label
_atom_site_fract_x
_atom_site_fract_y
_atom_site_fract_z
_atom_site_occupancy
Y1 0.000 0.000 0.000 1
Ho1 0.250 0.250 0.750 1
Er1 0.125 0.125 0.375 1
```

---

Arrangement C

First-principles (GGA-PBE) data for a relaxed structure of YHoEr4, as listed in Alexandria via LeMat-Bulk.

Computed properties:
Calculated density, g/cm³: 8.29
M_tot, Bohr magnetons per cell: 0.00

Cell and atoms, written as CIF:
```
data_YHoEr4
_chemical_formula_sum 'Y1 Ho1 Er4'
_space_group_name_H-M_alt 'P -1'
_space_group_IT_number 2
_space_group_name_Hall '-P 1'
_cell_length_a 3.523
_cell_length_b 6.090
_cell_length_c 9.302
_cell_angle_alpha 77.45
_cell_angle_beta 79.14
_cell_angle_gamma 73.29
loop_
_atom_site_label
_atom_site_fract_x
_atom_site_fract_y
_atom_site_fract_z
_atom_site_occupancy
Y1 0.000 0.000 0.000 1
Ho1 0.000 0.500 0.500 1
Er1 0.333 0.502 0.832 1
Er2 0.333 0.999 0.335 1
```

---

Short version: arrangement B is the least stable of them.

---

Arrangement A

First-principles (GGA-PBE) data for a relaxed structure of Y7Ho2Er, as listed in Alexandria via LeMat-Bulk.

Computed properties:
Calculated density, g/cm³: 5.81
M_tot, Bohr magnetons per cell: 0.00

Cell and atoms, written as CIF:
```
data_Y7Ho2Er
_chemical_formula_sum 'Y14 Ho4 Er2'
_space_group_name_H-M_alt 'C 1 2/m 1'
_space_group_IT_number 12
_space_group_name_Hall '-C 2y'
_cell_length_a 6.153
_cell_length_b 29.687
_cell_length_c 3.506
_cell_angle_alpha 90.00
_cell_angle_beta 90.32
_cell_angle_gamma 90.00
loop_
_atom_site_label
_atom_site_fract_x
_atom_site_fract_y
_atom_site_fract_z
_atom_site_occupancy
Y1 0.000 0.000 0.000 1
Y2 0.000 0.208 0.500 1
Y3 0.246 0.100 0.269 1
Ho1 0.000 0.308 0.000 1
Er1 0.000 0.500 0.500 1
```

---

Arrangement B

First-principles (GGA-PBE) data for a relaxed structure of Y7Ho2Er, as listed in Alexandria via LeMat-Bulk.

Computed properties:
Calculated density, g/cm³: 4.71
M_tot, Bohr magnetons per cell: 0.01

Cell and atoms, written as CIF:
```
data_Y7Ho2Er
_chemical_formula_sum 'Y14 Ho4 Er2'
_space_group_name_H-M_alt 'C m m m'
_space_group_IT_number 65
_space_group_name_Hall '-C 2 2'
_cell_length_a 8.783
_cell_length_b 16.098
_cell_length_c 5.577
_cell_angle_alpha 90.00
_cell_angle_beta 90.00
_cell_angle_gamma 90.00
loop_
_atom_site_label
_atom_site_fract_x
_atom_site_fract_y
_atom_site_fract_z
_atom_site_occupancy
Y1 0.000 0.000 0.000 1
Y2 0.000 0.284 0.500 1
Y3 0.177 0.386 0.000 1
Ho1 0.000 0.204 0.000 1
Er1 0.000 0.500 0.500 1
```

---

Short version: arrangement B is the least stable of them.

---

Arrangement A

First-principles (GGA-PBE) data for a relaxed structure of Y5Ho5Er, as listed in Alexandria via LeMat-Bulk.

Computed properties:
Calculated density, g/cm³: 6.68
M_tot, Bohr magnetons per cell: 0.01

Cell and atoms, written as CIF:
```
data_Y5Ho5Er
_chemical_formula_sum 'Y5 Ho5 Er1'
_space_group_name_H-M_alt 'P -1'
_space_group_IT_number 2
_space_group_name_Hall '-P 1'
_cell_length_a 6.829
_cell_length_b 6.829
_cell_length_c 8.574
_cell_angle_alpha 75.02
_cell_angle_beta 75.04
_cell_angle_gamma 70.21
loop_
_atom_site_label
_atom_site_fract_x
_atom_site_fract_y
_atom_site_fract_z
_atom_site_occupancy
Y1 0.000 0.000 0.000 1
Y2 0.147 0.145 0.363 1
Y3 0.318 0.315 0.634 1
Ho1 0.000 0.500 0.000 1
Ho2 0.226 0.649 0.272 1
Ho3 0.351 0.772 0.729 1
Er1 0.500 0.000 0.000 1
```

---

Arrangement B

First-principles (GGA-PBE) data for a relaxed structure of Y5Ho5Er, as listed in Alexandria via LeMat-Bulk.

Computed properties:
Calculated density, g/cm³: 6.66
M_tot, Bohr magnetons per cell: 2.37

Cell and atoms, written as CIF:
```
data_Y5Ho5Er
_chemical_formula_sum 'Y10 Ho10 Er2'
_space_group_name_H-M_alt 'C 1 2/m 1'
_space_group_IT_number 12
_space_group_name_Hall '-C 2y'
_cell_length_a 18.804
_cell_length_b 5.913
_cell_length_c 6.923
_cell_angle_alpha 90.00
_cell_angle_beta 111.38
_cell_angle_gamma 90.00
loop_
_atom_site_label
_atom_site_fract_x
_atom_site_fract_y
_atom_site_fract_z
_atom_site_occupancy
Y1 0.000 0.000 0.000 1
Y2 0.178 0.500 0.424 1
Y3 0.178 0.500 0.932 1
Ho1 0.000 0.500 0.500 1
Ho2 0.123 0.000 0.624 1
Ho3 0.169 0.000 0.170 1
Er1 0.000 0.500 0.000 1
```

---

Short version: arrangement B is the least stable of them.